Entry 1:
The following is a DFT calculation (PBE) of a geometry-optimized HfTe4Pd structure.

abc: 6.8880 6.7767 7.0253
angles: 90.00 92.54 90.00
Atoms (fractional coordinates):
Hf1 0.0000 0.0000 0.0000
Hf2 0.0000 0.5000 0.5000
Te1 0.1365 0.1296 0.3690
Te2 0.1365 0.3704 0.8690
Te3 0.3762 0.6284 0.3732
Te4 0.3762 0.8716 0.8732
Te5 0.6238 0.1284 0.1268
Te6 0.6238 0.3716 0.6268
Te7 0.8635 0.6296 0.1310
Te8 0.8635 0.8704 0.6310
Pd1 0.5000 0.0000 0.5000
Pd2 0.5000 0.5000 0.0000

Computed properties:
As for the total magnetization: 0.000 μB/f.u. As for the space group: P2_1/c. The calculation puts the total DFT energy (no corrections) at -5.00 eV per atom. The uncorrected formation energy is -37 kJ/mol of atoms.

***

Entry 2:
The following is a DFT calculation (PBE) of a geometry-optimized HfTe3Pd structure.

abc: 5.5113 5.5113 5.5113
angles: 90.00 90.00 90.00
Atoms (fractional coordinates):
Hf1 0.0000 0.0000 0.0000
Te1 0.0000 0.0000 0.5000
Te2 0.0000 0.5000 0.0000
Te3 0.5000 0.0000 0.0000
Pd1 0.5000 0.5000 0.5000

Computed properties:
As for the total magnetization: 0.000 μB/f.u. As for the space group: Pm-3m. The calculation puts the total DFT energy (no corrections) at -4.66 eV per atom. The uncorrected formation energy is 24 kJ/mol of atoms.

***

Entry 3:
The following is a DFT calculation (PBE) of a geometry-optimized Hf2Tl2Te6Pd structure.

abc: 7.0730 7.0730 8.6212
angles: 98.01 98.01 119.93
Atoms (fractional coordinates):
Hf1 0.1780 0.8220 0.0000
Hf2 0.8220 0.1780 0.0000
Tl1 0.3331 0.6669 0.5000
Tl2 0.6669 0.3331 0.5000
Te1 0.0928 0.4152 0.7923
Te2 0.2403 0.2403 0.1839
Te3 0.4152 0.0928 0.7923
Te4 0.5848 0.9072 0.2077
Te5 0.7597 0.7597 0.8161
Te6 0.9072 0.5848 0.2077
Pd1 0.5000 0.5000 0.0000

Computed properties:
As for the total magnetization: 0.000 μB/f.u. As for the space group: C2/m. The calculation puts the total DFT energy (no corrections) at -4.95 eV per atom. The uncorrected formation energy is -51 kJ/mol of atoms.

***

Entry 4:
The following is a DFT calculation (PBE) of a geometry-optimized HfTlTe3Pd structure.

abc: 8.7983 3.9626 10.9157
angles: 90.00 112.90 90.00
Atoms (fractional coordinates):
Hf1 0.2150 0.2500 0.1784
Hf2 0.7850 0.7500 0.8216
Tl1 0.2154 0.7500 0.7062
Tl2 0.7846 0.2500 0.2938
Te1 0.0531 0.2500 0.8795
Te2 0.2457 0.2500 0.4483
Te3 0.4323 0.7500 0.1456
Te4 0.5677 0.2500 0.8544
Te5 0.7543 0.7500 0.5517
Te6 0.9469 0.7500 0.1205
Pd1 0.4147 0.7500 0.3884
Pd2 0.5853 0.2500 0.6116

Computed properties:
As for the total magnetization: 0.000 μB/f.u. As for the space group: P2_1/m. The calculation puts the total DFT energy (no corrections) at -5.09 eV per atom. The uncorrected formation energy is -58 kJ/mol of atoms.